Sm2ScMnS6 after structural relaxation. Source: the Alexandria database, functional GGA-PBE.

Its energy relative to the elements, uncorrected is -1637 meV per atom. Its density of states at the Fermi level is 0.1046 states/eV per atom. The energy comes out at -6.61 eV per atom. The value obtained for the volume is 419 Å³ per cell.

a b c (Å): 6.3591 7.1540 9.2165
angles (deg): 90.00 90.46 90.00
Last column: magnetic moment on the atom in μB.
Fractional coordinates of all 20 atoms:
Sm 0.0409 0.8927 0.2478  0.02
Sm 0.5409 0.6073 0.7478  0.02
Sm 0.9591 0.1073 0.7522  0.02
Sm 0.4591 0.3927 0.2522  0.02
Sc 0.5000 0.0000 0.0000  0.06
Sc 0.0000 0.5000 0.5000  0.06
Mn 0.5000 0.0000 0.5000  3.57
Mn 0.0000 0.5000 0.0000  3.57
S 0.3146 0.6755 0.0564  -0.01
S 0.8146 0.8245 0.5564  -0.01
S 0.6854 0.3245 0.9436  -0.01
S 0.1853 0.1755 0.4436  -0.01
S 0.3249 0.6806 0.4382  0.04
S 0.8249 0.8194 0.9382  0.04
S 0.6751 0.3194 0.5618  0.04
S 0.1751 0.1806 0.0618  0.04
S 0.8725 0.5306 0.2382  -0.01
S 0.3725 0.9694 0.7382  -0.01
S 0.1275 0.4694 0.7618  -0.01
S 0.6275 0.0306 0.2618  -0.01